[1]
Computed, not measured: an optimized crystal structure of LiYZr2 at the PBE level of DFT.

## Properties
Energy above the most stable polymorph in this dataset: 118.4 meV per atom
Uncorrected energy: -6.132 eV/atom
Spin magnetization: 0.0000 μB per atom
Space-group type: No. 44
Energy relative to the elements: 0.24 eV/atom

a b c (Å): 6.0403 6.0403 6.0403
angles (deg): 146.84 128.46 62.67
With the nearest neighbours (Å) after each atom.
Atoms (fractional coordinates):
Li (0.0000, 0.0000, 0.0000)  6 Zr 2.86-3.14, 2 Y 2.96
Y (0.2329, 0.7329, 0.5000)  2 Li 2.96, 4 Zr 3.18
Zr (0.5138, 0.5138, 0.0000)  4 Li 3.14, 4 Zr 3.23-3.45, 4 Y 3.37-3.47
Zr (0.7784, 0.2784, 0.5000)  2 Li 2.86, 4 Y 3.18

---

[2]
Computed, not measured: an optimized crystal structure of YHfZn4 at the PBE level of DFT.

## Properties
Energy above the most stable polymorph in this dataset: 60.4 meV per atom
Uncorrected energy: -3.805 eV/atom
Spin magnetization: 0.1961 μB per atom
Space-group type: No. 216
Energy relative to the elements: -0.22 eV/atom

a b c (Å): 5.3353 5.3353 5.3353
angles (deg): 60.00 60.00 60.00
With the nearest neighbours (Å) after each atom.
Atoms (fractional coordinates):
Y (0.0000, 0.0000, 0.0000)  12 Zn 3.13, 4 Hf 3.27
Hf (0.7500, 0.7500, 0.7500)  12 Zn 3.13, 4 Y 3.27
Zn (0.3758, 0.3758, 0.3758)  6 Zn 2.65-2.68
Zn (0.3758, 0.3758, 0.8727)  6 Zn 2.65-2.68
Zn (0.3758, 0.8727, 0.3758)  6 Zn 2.65-2.68
Zn (0.8727, 0.3758, 0.3758)  6 Zn 2.65-2.68

---

[3]
Computed, not measured: an optimized crystal structure of LaPr6Er2Tm3 at the PBE level of DFT.

## Properties
Uncorrected energy: -4.659 eV/atom
Spin magnetization: 0.0000 μB per atom
Space-group type: No. 12
Energy relative to the elements: 0.02 eV/atom

a b c (Å): 6.3032 6.3032 11.9088
angles (deg): 95.06 95.06 120.02
With the nearest neighbours (Å) after each atom.
Atoms (fractional coordinates):
La (0.0000, 0.0000, 0.0000)  6 Er 3.64, 6 Pr 3.64
Pr (0.0847, 0.4189, 0.2533)  3 Tm 3.57-3.58, 6 Pr 3.63-3.65, 2 Er 3.63-3.64, 1 La 3.64
Pr (0.2494, 0.2494, 0.7466)  3 Tm 3.57-3.58, 6 Pr 3.63-3.65, 2 Er 3.64, 1 La 3.64
Pr (0.4189, 0.0847, 0.2533)  3 Tm 3.57-3.58, 6 Pr 3.63-3.65, 2 Er 3.63-3.64, 1 La 3.64
Pr (0.5811, 0.9153, 0.7467)  3 Tm 3.57-3.58, 6 Pr 3.63-3.65, 2 Er 3.63-3.64, 1 La 3.64
Pr (0.7506, 0.7506, 0.2534)  3 Tm 3.57-3.58, 6 Pr 3.63-3.65, 2 Er 3.64, 1 La 3.64
Pr (0.9153, 0.5811, 0.7467)  3 Tm 3.57-3.58, 6 Pr 3.63-3.65, 2 Er 3.63-3.64, 1 La 3.64
Er (0.3335, 0.6665, 0.0000)  6 Pr 3.63-3.64, 3 Er 3.64, 3 La 3.64
Er (0.6665, 0.3335, 0.0000)  6 Pr 3.63-3.64, 3 Er 3.64, 3 La 3.64
Tm (0.1670, 0.8330, 0.5000)  6 Pr 3.57-3.58, 6 Tm 3.63-3.65
Tm (0.5000, 0.5000, 0.5000)  6 Pr 3.57-3.58, 6 Tm 3.64
Tm (0.8330, 0.1670, 0.5000)  6 Pr 3.57-3.58, 6 Tm 3.63-3.65

---

[4]
Computed, not measured: an optimized crystal structure of Rb2Tl3Hg5 at the PBE level of DFT.

## Properties
Uncorrected energy: -1.196 eV/atom
Spin magnetization: 0.0000 μB per atom
Space-group type: No. 72
Energy relative to the elements: -0.14 eV/atom

a b c (Å): 10.8598 10.8598 10.8598
angles (deg): 118.39 76.98 138.58
With the nearest neighbours (Å) after each atom.
Atoms (fractional coordinates):
Rb (0.1325, 0.2470, 0.3795)  9 Hg 3.88-4.15, 5 Tl 3.91-4.15
Rb (0.3675, 0.7470, 0.1145)  9 Hg 3.88-4.15, 5 Tl 3.91-4.15
Rb (0.6325, 0.2530, 0.8855)  9 Hg 3.88-4.15, 5 Tl 3.91-4.15
Rb (0.8675, 0.7530, 0.6205)  9 Hg 3.88-4.15, 5 Tl 3.91-4.15
Tl (0.1271, 0.8951, 0.0222)  5 Hg 3.06-3.17
Tl (0.2500, 0.7500, 0.5000)  4 Hg 3.16
Tl (0.3729, 0.3951, 0.7680)  5 Hg 3.06-3.17
Tl (0.6271, 0.6049, 0.2320)  5 Hg 3.06-3.17
Tl (0.7500, 0.2500, 0.5000)  4 Hg 3.16
Tl (0.8729, 0.1049, 0.9778)  5 Hg 3.06-3.17
Hg (0.0083, 0.7500, 0.2583)  2 Hg 3.07, 2 Tl 3.17
Hg (0.1247, 0.6199, 0.7446)  3 Tl 3.06-3.16, 2 Hg 3.07
Hg (0.2500, 0.2500, 0.0000)  4 Tl 3.12
Hg (0.3753, 0.1199, 0.4952)  3 Tl 3.06-3.16, 2 Hg 3.07
Hg (0.4917, 0.7500, 0.7417)  2 Hg 3.07, 2 Tl 3.17
Hg (0.5083, 0.2500, 0.2583)  2 Hg 3.07, 2 Tl 3.17
Hg (0.6247, 0.8801, 0.5048)  3 Tl 3.06-3.16, 2 Hg 3.07
Hg (0.7500, 0.7500, 0.0000)  4 Tl 3.12
Hg (0.8753, 0.3801, 0.2554)  3 Tl 3.06-3.16, 2 Hg 3.07
Hg (0.9917, 0.2500, 0.7417)  2 Hg 3.07, 2 Tl 3.17

---

[5]
Computed, not measured: an optimized crystal structure of Sr2LiRh at the PBE level of DFT.

## Properties
Uncorrected energy: -3.066 eV/atom
Spin magnetization: 0.0000 μB per atom
Space-group type: No. 119
Energy relative to the elements: 0.09 eV/atom

a b c (Å): 6.0303 6.0303 6.0303
angles (deg): 135.05 135.05 65.45
With the nearest neighbours (Å) after each atom.
Atoms (fractional coordinates):
Sr (0.0000, 0.0000, 0.0000)  4 Rh 3.26, 4 Li 3.43, 4 Sr 3.43
Sr (0.7500, 0.2500, 0.5000)  4 Li 3.26, 4 Rh 3.43, 4 Sr 3.43
Li (0.2500, 0.7500, 0.5000)  8 Sr 3.26-3.43, 4 Rh 3.43
Rh (0.5000, 0.5000, 0.0000)  8 Sr 3.26-3.43, 4 Li 3.43

---

[6]
Computed, not measured: an optimized crystal structure of In2Sn3Bi at the PBE level of DFT.

## Properties
Uncorrected energy: -3.435 eV/atom
Spin magnetization: 0.0000 μB per atom
Space-group type: No. 156
Energy relative to the elements: 0.13 eV/atom

a b c (Å): 4.7241 4.7241 11.7973
angles (deg): 90.00 90.00 120.00
With the nearest neighbours (Å) after each atom.
Atoms (fractional coordinates):
In (0.0000, 0.0000, 0.0000)  4 Sn 2.86-2.92
In (0.3333, 0.6667, 0.6837)  4 Sn 2.85-2.87
Sn (0.0000, 0.0000, 0.2477)  1 In 2.92, 3 Bi 3.02
Sn (0.3333, 0.6667, 0.9271)  4 In 2.86-2.87
Sn (0.6667, 0.3333, 0.6122)  3 In 2.85, 1 Bi 2.99
Bi (0.6667, 0.3333, 0.3585)  4 Sn 2.99-3.02

---

[7]
Computed, not measured: an optimized crystal structure of CsTl12In6 at the PBE level of DFT.

## Properties
Uncorrected energy: -2.370 eV/atom
Spin magnetization: 0.0000 μB per atom
Space-group type: No. 166
Energy relative to the elements: 0.03 eV/atom

a b c (Å): 8.9891 8.9891 8.9891
angles (deg): 104.66 104.66 104.66
With the nearest neighbours (Å) after each atom.
Atoms (fractional coordinates):
Cs (0.0000, 0.0000, 0.0000)  6 Tl 4.03
Tl (0.1138, 0.5000, 0.8862)  4 In 3.13-3.30, 3 Tl 3.24-3.47
Tl (0.1138, 0.8862, 0.5000)  4 In 3.13-3.30, 3 Tl 3.24-3.47
Tl (0.1444, 0.4000, 0.4000)  3 In 3.19-3.29, 2 Tl 3.47
Tl (0.4000, 0.1444, 0.4000)  3 In 3.19-3.29, 2 Tl 3.47
Tl (0.4000, 0.4000, 0.1444)  3 In 3.19-3.29, 2 Tl 3.47
Tl (0.5000, 0.1138, 0.8862)  4 In 3.13-3.30, 3 Tl 3.24-3.47
Tl (0.5000, 0.8862, 0.1138)  4 In 3.13-3.30, 3 Tl 3.24-3.47
Tl (0.6000, 0.6000, 0.8556)  3 In 3.19-3.29, 2 Tl 3.47
Tl (0.6000, 0.8556, 0.6000)  3 In 3.19-3.29, 2 Tl 3.47
Tl (0.8556, 0.6000, 0.6000)  3 In 3.19-3.29, 2 Tl 3.47
Tl (0.8862, 0.1138, 0.5000)  4 In 3.13-3.30, 3 Tl 3.24-3.47
Tl (0.8862, 0.5000, 0.1138)  4 In 3.13-3.30, 3 Tl 3.24-3.47
In (0.2817, 0.2817, 0.7097)  7 Tl 3.13-3.30
In (0.2817, 0.7097, 0.2817)  7 Tl 3.13-3.30
In (0.2903, 0.7183, 0.7183)  7 Tl 3.13-3.30
In (0.7097, 0.2817, 0.2817)  7 Tl 3.13-3.30
In (0.7183, 0.2903, 0.7183)  7 Tl 3.13-3.30
In (0.7183, 0.7183, 0.2903)  7 Tl 3.13-3.30

---

[8]
Computed, not measured: an optimized crystal structure of GdScGeRu at the PBE level of DFT.

## Properties
Uncorrected energy: -9.064 eV/atom
Spin magnetization: 1.7575 μB per atom
Space-group type: No. 216
Energy relative to the elements: -0.49 eV/atom

a b c (Å): 4.8125 4.8125 4.8125
angles (deg): 60.00 60.00 60.00
With the nearest neighbours (Å) after each atom.
Atoms (fractional coordinates):
Gd (0.0000, 0.0000, 0.0000)  4 Ru 2.95, 4 Ge 2.95
Sc (0.5000, 0.5000, 0.5000)  4 Ru 2.95, 4 Ge 2.95
Ge (0.2500, 0.2500, 0.2500)  4 Gd 2.95, 4 Sc 2.95
Ru (0.7500, 0.7500, 0.7500)  4 Gd 2.95, 4 Sc 2.95

---

Question: Which of these has the highest spin magnetization?
Answer: GdScGeRu

---

Question: What is the energy relative to the elements in the fifth record?
Answer: 0.09 eV/atom

---

Repeat the sixth record exactly.
Computed, not measured: an optimized crystal structure of In2Sn3Bi at the PBE level of DFT.

## Properties
Uncorrected energy: -3.435 eV/atom
Spin magnetization: 0.0000 μB per atom
Space-group type: No. 156
Energy relative to the elements: 0.13 eV/atom

a b c (Å): 4.7241 4.7241 11.7973
angles (deg): 90.00 90.00 120.00
With the nearest neighbours (Å) after each atom.
Atoms (fractional coordinates):
In (0.0000, 0.0000, 0.0000)  4 Sn 2.86-2.92
In (0.3333, 0.6667, 0.6837)  4 Sn 2.85-2.87
Sn (0.0000, 0.0000, 0.2477)  1 In 2.92, 3 Bi 3.02
Sn (0.3333, 0.6667, 0.9271)  4 In 2.86-2.87
Sn (0.6667, 0.3333, 0.6122)  3 In 2.85, 1 Bi 2.99
Bi (0.6667, 0.3333, 0.3585)  4 Sn 2.99-3.02

---

Please write out number 8 again, unchanged.
Computed, not measured: an optimized crystal structure of GdScGeRu at the PBE level of DFT.

## Properties
Uncorrected energy: -9.064 eV/atom
Spin magnetization: 1.7575 μB per atom
Space-group type: No. 216
Energy relative to the elements: -0.49 eV/atom

a b c (Å): 4.8125 4.8125 4.8125
angles (deg): 60.00 60.00 60.00
With the nearest neighbours (Å) after each atom.
Atoms (fractional coordinates):
Gd (0.0000, 0.0000, 0.0000)  4 Ru 2.95, 4 Ge 2.95
Sc (0.5000, 0.5000, 0.5000)  4 Ru 2.95, 4 Ge 2.95
Ge (0.2500, 0.2500, 0.2500)  4 Gd 2.95, 4 Sc 2.95
Ru (0.7500, 0.7500, 0.7500)  4 Gd 2.95, 4 Sc 2.95